# PBE Th4GaRu, optimized geometry
# * magnetic moment: 0.00 μB per formula unit
# * polymorph energy (0 for the lowest one): 0.044 eV per atom
# * formation enthalpy at 0 K: -0.31 eV per atom
# * raw total energy: -87.7 eV/cell
data_Th4GaRu
_cell_length_a 8.0278
_cell_length_b 8.0278
_cell_length_c 6.0720
_cell_angle_alpha 102.58
_cell_angle_beta 102.58
_cell_angle_gamma 114.72
_space_group_name_H-M_alt 'P 1'
_space_group_IT_number 1
_space_group_name_Hall 'P 1'
loop_
_atom_site_label
_atom_site_type_symbol
_atom_site_fract_x
_atom_site_fract_y
_atom_site_fract_z
Th1 Th 0.0664 0.6969 0.9306
Th2 Th 0.2178 0.3719 0.6645
Th3 Th 0.3031 0.9336 0.5694
Th4 Th 0.3719 0.2178 0.1645
Th5 Th 0.6281 0.7822 0.8355
Th6 Th 0.6969 0.0664 0.4306
Th7 Th 0.7822 0.6281 0.3355
Th8 Th 0.9336 0.3031 0.0694
Ga1 Ga 0.3800 0.6200 0.2500
Ga2 Ga 0.6200 0.3800 0.7500
Ru1 Ru 0.0018 0.9982 0.7500
Ru2 Ru 0.9982 0.0018 0.2500

# PBE Nd8Ge2Os, optimized geometry
# * magnetic moment: 0.00 μB per formula unit
# * formation enthalpy at 0 K: -0.30 eV per atom
# * raw total energy: -61.9 eV/cell
data_Nd8Ge2Os
_cell_length_a 9.9164
_cell_length_b 9.9164
_cell_length_c 6.9679
_cell_angle_alpha 102.38
_cell_angle_beta 102.38
_cell_angle_gamma 28.57
_space_group_name_H-M_alt 'P 1'
_space_group_IT_number 1
_space_group_name_Hall 'P 1'
loop_
_atom_site_label
_atom_site_type_symbol
_atom_site_fract_x
_atom_site_fract_y
_atom_site_fract_z
Nd1 Nd 0.0195 0.0195 0.2846
Nd2 Nd 0.2156 0.2156 0.8320
Nd3 Nd 0.3470 0.3470 0.5012
Nd4 Nd 0.4077 0.4077 0.0286
Nd5 Nd 0.5923 0.5923 0.9714
Nd6 Nd 0.6530 0.6530 0.4988
Nd7 Nd 0.7844 0.7844 0.1680
Nd8 Nd 0.9805 0.9805 0.7154
Ge1 Ge 0.1816 0.1816 0.2506
Ge2 Ge 0.8184 0.8184 0.7494
Os1 Os 0.5000 0.5000 0.5000

# PBE CrCl2, optimized geometry
# * magnetic moment: 4.00 μB per formula unit
# * polymorph energy (0 for the lowest one): 0.002 eV per atom
# * E_form (uncorrected): -934 meV per atom
# * raw total energy: -16.1 eV/cell
data_CrCl2
_cell_length_a 4.0311
_cell_length_b 4.0311
_cell_length_c 7.2760
_cell_angle_alpha 116.76
_cell_angle_beta 116.76
_cell_angle_gamma 50.77
_space_group_name_H-M_alt 'P 1'
_space_group_IT_number 1
_space_group_name_Hall 'P 1'
loop_
_atom_site_label
_atom_site_type_symbol
_atom_site_fract_x
_atom_site_fract_y
_atom_site_fract_z
Cr1 Cr 0.0000 0.0000 0.0000
Cl1 Cl 0.2702 0.2702 0.7813
Cl2 Cl 0.7298 0.7298 0.2187

# PBE Ac2ThCu, optimized geometry
# * magnetic moment: 0.00 μB per formula unit
# * polymorph energy (0 for the lowest one): 0.335 eV per atom
# * formation enthalpy at 0 K: 0.37 eV per atom
# * raw total energy: -18.2 eV/cell
data_Ac2ThCu
_cell_length_a 11.8635
_cell_length_b 11.8635
_cell_length_c 11.8635
_cell_angle_alpha 17.93
_cell_angle_beta 17.93
_cell_angle_gamma 17.93
_space_group_name_H-M_alt 'P 1'
_space_group_IT_number 1
_space_group_name_Hall 'P 1'
loop_
_atom_site_label
_atom_site_type_symbol
_atom_site_fract_x
_atom_site_fract_y
_atom_site_fract_z
Ac1 Ac 0.1028 0.1028 0.1028
Ac2 Ac 0.8972 0.8972 0.8972
Th1 Th 0.0000 0.0000 0.0000
Cu1 Cu 0.5000 0.5000 0.5000

# PBE Ac2TlSe4, optimized geometry
# * magnetic moment: 0.00 μB per formula unit
# * E_form (uncorrected): -1401 meV per atom
# * raw total energy: -34.3 eV/cell
data_Ac2TlSe4
_cell_length_a 8.1980
_cell_length_b 8.1980
_cell_length_c 8.0050
_cell_angle_alpha 116.91
_cell_angle_beta 116.91
_cell_angle_gamma 32.26
_space_group_name_H-M_alt 'P 1'
_space_group_IT_number 1
_space_group_name_Hall 'P 1'
loop_
_atom_site_label
_atom_site_type_symbol
_atom_site_fract_x
_atom_site_fract_y
_atom_site_fract_z
Ac1 Ac 0.2215 0.2215 0.2139
Ac2 Ac 0.7785 0.7785 0.7861
Tl1 Tl 0.5000 0.5000 0.5000
Se1 Se 0.1464 0.1464 0.5123
Se2 Se 0.3762 0.3762 0.0691
Se3 Se 0.6238 0.6238 0.9309
Se4 Se 0.8536 0.8536 0.4877